[1]
Computed, not measured: a geometry-optimized ZnOs2Au structure at the PBEsol level of DFT.

a = 2.758 Å, b = 4.022 Å, c = 5.304 Å
α = 90.00°, β = 90.00°, γ = 90.00°
Fractional positions:
Zn 0.500 0.500 0.000
Os 0.000 0.000 0.773
Os 0.000 0.000 0.227
Au 0.500 0.500 0.500

## Properties
space group = No. 47
energy relative to the elements = 590 meV per atom
final energy = -6.895 eV per atom

[2]
Computed, not measured: a geometry-optimized ZnOsAu structure at the PBEsol level of DFT.

a = 4.110 Å, b = 4.110 Å, c = 4.110 Å
α = 60.00°, β = 60.00°, γ = 60.00°
Fractional positions:
Au 0.000 0.000 0.000
Zn 0.250 0.250 0.250
Os 0.500 0.500 0.500

## Properties
space group = No. 216
energy relative to the elements = 871 meV per atom
final energy = -5.036 eV per atom